! Li3BiP2O8 (PBEsol, relaxed); values from VASP
! energy relative to the elements, uncorrected: -2.174 eV/atom
! E above lowest polymorph: 15 meV per atom
&SYSTEM
  ibrav = 0, nat = 56, ntyp = 4
/
ATOMIC_SPECIES
Li 6.94 Li.upf
Bi 208.98 Bi.upf
P 30.97 P.upf
O 16.00 O.upf
CELL_PARAMETERS angstrom
-3.4581 3.4381 -1.7063
-4.2346 -4.7595 -0.8533
-6.1124 2.3634 17.1500
ATOMIC_POSITIONS crystal
Li 0.7888 0.1528 0.6989
Li 0.7596 0.4830 0.8769
Li 0.6712 0.6919 0.0594
Li 0.7404 0.0170 0.3769
Li 0.8288 0.8081 0.5594
Li 0.7112 0.3472 0.1989
Li 0.2888 0.6528 0.8011
Li 0.1712 0.1919 0.4406
Li 0.2596 0.9830 0.6231
Li 0.3288 0.3081 0.9406
Li 0.2404 0.5170 0.1231
Li 0.2112 0.8472 0.3011
Bi 0.8060 0.9465 0.8839
Bi 0.6940 0.5535 0.3839
Bi 0.3060 0.4465 0.6161
Bi 0.1940 0.0535 0.1161
P 0.7966 0.6697 0.7123
P 0.7722 0.2717 0.5312
P 0.7278 0.2283 0.0312
P 0.7034 0.8303 0.2123
P 0.2966 0.1697 0.7877
P 0.2722 0.7717 0.9688
P 0.2278 0.7283 0.4688
P 0.2034 0.3303 0.2877
O 0.0041 0.8484 0.2066
O 0.9215 0.4652 0.6839
O 0.9623 0.8084 0.4409
O 0.8919 0.8589 0.6682
O 0.7684 0.9925 0.0438
O 0.9404 0.3524 0.0710
O 0.8752 0.6852 0.7945
O 0.7721 0.2334 0.4474
O 0.7279 0.2666 0.9474
O 0.6248 0.8148 0.2945
O 0.5596 0.1476 0.5710
O 0.7316 0.5075 0.5438
O 0.6081 0.6411 0.1682
O 0.5377 0.6916 0.9409
O 0.5785 0.0348 0.1839
O 0.4959 0.6516 0.7066
O 0.5041 0.3484 0.2934
O 0.4215 0.9652 0.8161
O 0.4623 0.3084 0.0591
O 0.3919 0.3589 0.8318
O 0.2684 0.4925 0.4562
O 0.4404 0.8524 0.4290
O 0.3752 0.1852 0.7055
O 0.2721 0.7334 0.0526
O 0.2279 0.7666 0.5526
O 0.1248 0.3148 0.2055
O 0.0596 0.6476 0.9290
O 0.2316 0.0075 0.9562
O 0.1081 0.1411 0.3318
O 0.0377 0.1916 0.5591
O 0.0785 0.5348 0.3161
O 0.9959 0.1516 0.7934



! ZrSc2Cl (PBEsol, relaxed); values from VASP
! energy relative to the elements, uncorrected: -0.312 eV/atom
! E above lowest polymorph: 300 meV per atom
&SYSTEM
  ibrav = 0, nat = 4, ntyp = 3
/
ATOMIC_SPECIES
Sc 44.96 Sc.upf
Zr 91.22 Zr.upf
Cl 35.45 Cl.upf
CELL_PARAMETERS angstrom
3.0683 0.0000 0.0000
0.0000 5.2610 0.0000
-1.5341 -2.6305 5.1541
ATOMIC_POSITIONS crystal
Sc 0.0382 0.0382 0.0764
Sc 0.2453 0.7453 0.4906
Zr 0.4647 0.4647 0.9293
Cl 0.7519 0.2519 0.5037



! ScTaCo2 (PBEsol, relaxed); values from VASP
! DFT formation energy: -242 meV per atom
&SYSTEM
  ibrav = 0, nat = 4, ntyp = 3
/
ATOMIC_SPECIES
Sc 44.96 Sc.upf
Co 58.93 Co.upf
Ta 180.95 Ta.upf
CELL_PARAMETERS angstrom
2.8909 0.0000 0.0000
0.0000 4.4042 0.0000
0.0000 0.0000 4.4042
ATOMIC_POSITIONS crystal
Sc 0.5000 0.5000 0.5000
Co 0.0000 0.0000 0.5000
Co 0.0000 0.5000 0.0000
Ta 0.5000 0.0000 0.0000



! ZnSe2Br (PBEsol, relaxed); values from VASP
! energy relative to the elements, uncorrected: 0.439 eV/atom
! E above lowest polymorph: 452 meV per atom
&SYSTEM
  ibrav = 0, nat = 4, ntyp = 3
/
ATOMIC_SPECIES
Br 79.90 Br.upf
Se 78.96 Se.upf
Zn 65.41 Zn.upf
CELL_PARAMETERS angstrom
-0.8289 2.3872 -4.0886
-1.9702 -2.2696 -3.7509
-4.5096 1.0094 -1.3216
ATOMIC_POSITIONS crystal
Br 0.0000 0.0000 0.0000
Se 0.2500 0.2500 0.2500
Se 0.7500 0.7500 0.7500
Zn 0.5000 0.5000 0.5000



! BeI2OF (PBEsol, relaxed); values from VASP
! energy relative to the elements, uncorrected: -0.675 eV/atom
&SYSTEM
  ibrav = 0, nat = 5, ntyp = 4
/
ATOMIC_SPECIES
I 126.90 I.upf
Be 9.01 Be.upf
O 16.00 O.upf
F 19.00 F.upf
CELL_PARAMETERS angstrom
2.8951 0.0000 0.0000
0.0000 5.8696 0.0000
0.0000 0.0000 5.8696
ATOMIC_POSITIONS crystal
I 0.0000 0.0000 0.5000
I 0.0000 0.5000 0.0000
Be 0.0000 0.0000 0.0000
O 0.5000 0.0000 0.0000
F 0.5000 0.5000 0.5000



! Pm2CuPd (PBEsol, relaxed); values from VASP
! DFT formation energy: -426 meV per atom
&SYSTEM
  ibrav = 0, nat = 4, ntyp = 3
/
ATOMIC_SPECIES
Pd 106.42 Pd.upf
Cu 63.55 Cu.upf
Pm 145.00 Pm.upf
CELL_PARAMETERS angstrom
-3.6238 -1.8994 -2.8406
-1.7894 -4.5486 0.9575
-4.5944 -0.5304 1.8490
ATOMIC_POSITIONS crystal
Pd 0.5000 0.5000 0.5000
Cu 0.0000 0.0000 0.0000
Pm 0.7500 0.7500 0.7500
Pm 0.2500 0.2500 0.2500



! UNi2As2 (PBEsol, relaxed); values from VASP
! DFT formation energy: -503 meV per atom
&SYSTEM
  ibrav = 0, nat = 10, ntyp = 3
/
ATOMIC_SPECIES
Ni 58.69 Ni.upf
As 74.92 As.upf
U 238.03 U.upf
CELL_PARAMETERS angstrom
4.1272 0.0000 0.0000
0.0000 4.1272 0.0000
0.0000 0.0000 9.0303
ATOMIC_POSITIONS crystal
Ni 0.5000 0.0000 0.8822
Ni 0.5000 0.5000 0.5000
Ni 0.0000 0.5000 0.1178
Ni 0.0000 0.0000 0.5000
As 0.0000 0.5000 0.3690
As 0.5000 0.5000 0.0000
As 0.0000 0.0000 0.0000
As 0.5000 0.0000 0.6310
U 0.5000 0.0000 0.2529
U 0.0000 0.5000 0.7471



! CaAuBr2 (PBEsol, relaxed); values from VASP
! energy relative to the elements, uncorrected: -0.771 eV/atom
! E above lowest polymorph: 80 meV per atom
&SYSTEM
  ibrav = 0, nat = 4, ntyp = 3
/
ATOMIC_SPECIES
Ca 40.08 Ca.upf
Au 196.97 Au.upf
Br 79.90 Br.upf
CELL_PARAMETERS angstrom
3.4334 0.0000 0.0000
0.0000 3.4334 0.0000
0.0000 0.0000 8.9432
ATOMIC_POSITIONS crystal
Ca 0.5000 0.5000 0.0000
Au 0.5000 0.5000 0.5000
Br 0.0000 0.0000 0.8098
Br 0.0000 0.0000 0.1902



! LiBW3 (PBEsol, relaxed); values from VASP
! DFT formation energy: 2097 meV per atom
&SYSTEM
  ibrav = 0, nat = 5, ntyp = 3
/
ATOMIC_SPECIES
B 10.81 B.upf
W 183.84 W.upf
Li 6.94 Li.upf
CELL_PARAMETERS angstrom
-2.5950 2.9658 1.0158
-1.4154 -2.2851 3.0556
2.7972 1.5951 2.4886
ATOMIC_POSITIONS crystal
B 0.5000 0.5000 0.5000
W 0.0000 0.5000 0.0000
W 0.0000 0.0000 0.5000
W 0.5000 0.0000 0.0000
Li 0.0000 0.0000 0.0000



! MgH2Pt2 (PBEsol, relaxed); values from VASP
! E above lowest polymorph: 74 meV per atom
&SYSTEM
  ibrav = 0, nat = 5, ntyp = 3
/
ATOMIC_SPECIES
H 1.01 H.upf
Mg 24.30 Mg.upf
Pt 195.08 Pt.upf
CELL_PARAMETERS angstrom
-3.0676 -1.0392 0.6879
-0.4931 -0.6664 -3.2056
3.4645 -3.6679 1.9395
ATOMIC_POSITIONS crystal
H 0.2500 0.7500 0.5000
H 0.7500 0.2500 0.5000
Mg 0.0000 0.0000 0.0000
Pt 0.3522 0.3522 0.7044
Pt 0.6478 0.6478 0.2956



! Ba4Au3 (PBEsol, relaxed); values from VASP
! DFT formation energy: -481 meV per atom
&SYSTEM
  ibrav = 0, nat = 7, ntyp = 2
/
ATOMIC_SPECIES
Au 196.97 Au.upf
Ba 137.33 Ba.upf
CELL_PARAMETERS angstrom
4.4507 0.0000 0.0000
0.0000 4.4507 0.0000
-2.2253 -2.2253 13.5588
ATOMIC_POSITIONS crystal
Au 0.0000 0.0000 0.0000
Au 0.3155 0.3155 0.6310
Au 0.6845 0.6845 0.3690
Ba 0.1931 0.1931 0.3861
Ba 0.8069 0.8069 0.6139
Ba 0.4351 0.4351 0.8701
Ba 0.5649 0.5649 0.1299



! CaMg2MoCl (PBEsol, relaxed); values from VASP
! energy relative to the elements, uncorrected: 0.325 eV/atom
&SYSTEM
  ibrav = 0, nat = 5, ntyp = 4
/
ATOMIC_SPECIES
Mg 24.30 Mg.upf
Mo 95.94 Mo.upf
Ca 40.08 Ca.upf
Cl 35.45 Cl.upf
CELL_PARAMETERS angstrom
-3.8855 2.0186 -1.0468
-1.7501 -0.7898 4.9731
2.0462 4.6991 1.4663
ATOMIC_POSITIONS crystal
Mg 0.0000 0.0000 0.5000
Mg 0.0000 0.5000 0.0000
Mo 0.0000 0.0000 0.0000
Ca 0.5000 0.5000 0.5000
Cl 0.5000 0.0000 0.0000



Q: Which size of the total moment values were calculated for the entries above? A: 0.00, 0.00, 0.01, 0.00, 1.35, 0.00, 4.22, 0.00, 0.00, 0.00, 0.00, 0.00, in Bohr magnetons per cell.
Q: Which total DFT energy (no corrections) values were calculated for the entries above? A: -376.794, -25.555, -35.600, -9.397, -18.087, -22.270, -74.404, -12.880, -39.920, -23.435, -23.738, -17.718, in eV for the cell shown.